Compound: LiAcSb2Pd4
Source: Alexandria
Functional: PBE-GGA
Structure: relaxed

Summary:
E_form (uncorrected)	-725	meV per atom

Unit cell a=4.5468 b=4.5468 c=26.8859 alpha=90.00 beta=90.00 gamma=120.00
Space group R-3m (No. 166, hexagonal axes)
One atom of each set of equivalent atoms:
Li (0.0000, 0.0000, 0.0000) x3
Ac (0.0000, 0.0000, 0.5000) x3
Sb (0.0000, 0.0000, 0.2618) x6
Pd (0.0000, 0.0000, 0.0949) x6
Pd (0.0000, 0.0000, 0.3636) x6